(1)
Here is a relaxed structure of Tc2HPdW from the Alexandria database. Energies are from GGA-PBE.

```
Tc2HPdW
1.0
3.947 0.000 0.000
0.000 3.947 0.000
0.000 0.000 3.975
H Pd W Tc
1 1 1 2
Cartesian
0.000 0.000 0.000
1.974 1.974 1.987
0.000 0.000 1.987
0.000 1.974 0.000
1.974 0.000 0.000
```

Values from the calculation:
Relative energy among the computed polymorphs: 28 meV/atom



(2)
Here is a relaxed structure of TlCo2Tc from the Alexandria database. Energies are from GGA-PBE.

```
TlCo2Tc
1.0
4.553 0.013 -0.001
-0.929 4.457 -0.001
0.000 0.000 2.845
Co Tc Tl
2 1 1
Cartesian
0.000 0.000 0.000
1.812 2.235 -0.001
2.277 0.007 1.422
-0.464 2.229 1.422
```

Values from the calculation:
Energy of formation: 589 meV/atom
Relative energy among the computed polymorphs: 178 meV/atom



- Number 1 is which compound?
  Tc2HPdW